i.
Computed, not measured: a geometry-optimized Ge2AsF structure at the PBE level of DFT.

Unit cell a=6.4941 b=6.4941 c=6.4941 alpha=90.00 beta=90.00 gamma=90.00
With the nearest neighbours (Å) after each atom.
Space group Fm-3m (No. 225)
Inequivalent atoms, fractional coordinates:
Ge1 0.2500 0.2500 0.2500  4 As 2.81, 4 F 2.81
As1 0.0000 0.0000 0.0000  8 Ge 2.81
F1 0.0000 0.0000 0.5000  8 Ge 2.81

=====

ii.
Computed, not measured: a geometry-optimized Ge2AsF structure at the PBE level of DFT.

Unit cell a=4.7492 b=4.7492 c=14.4816 alpha=90.00 beta=90.00 gamma=90.00
With the nearest neighbours (Å) after each atom.
Space group I-42d (No. 122)
Inequivalent atoms, fractional coordinates:
Ge1 0.1701 0.2500 0.1250  2 F 2.31
As1 0.0000 0.0000 0.5000  4 Ge 2.67
F1 0.0000 0.0000 0.0000  4 Ge 2.31

=====

Stability ranking, top and bottom: i is the most stable and ii is the least stable.

=====

i.
Computed, not measured: a geometry-optimized GeAsN2F structure at the PBE level of DFT.

Unit cell a=3.8636 b=3.8636 c=4.0515 alpha=90.00 beta=90.00 gamma=90.00
With the nearest neighbours (Å) after each atom.
Space group P4/mmm (No. 123)
Inequivalent atoms, fractional coordinates:
Ge1 0.0000 0.0000 0.0000  4 F 2.73, 8 N 2.80
As1 0.5000 0.5000 0.5000  4 N 1.93, 2 F 2.03
N1 0.0000 0.5000 0.5000  2 As 1.93
F1 0.5000 0.5000 0.0000  2 As 2.03

=====

ii.
Computed, not measured: a geometry-optimized GeAsN2F structure at the PBE level of DFT.

Unit cell a=3.8832 b=3.8832 c=3.7477 alpha=90.00 beta=90.00 gamma=90.00
With the nearest neighbours (Å) after each atom.
Space group P4/mmm (No. 123)
Inequivalent atoms, fractional coordinates:
Ge1 0.0000 0.0000 0.0000  2 F 1.87, 4 N 1.94
As1 0.5000 0.5000 0.5000  8 N 2.70, 4 F 2.75
N1 0.0000 0.5000 0.0000  2 Ge 1.94
F1 0.0000 0.0000 0.5000  2 Ge 1.87

=====

Stability ranking, top and bottom: ii is the most stable and i is the least stable.

=====

i.
Computed, not measured: a geometry-optimized As2HF structure at the PBE level of DFT.

Unit cell a=5.8907 b=5.8907 c=5.8907 alpha=90.00 beta=90.00 gamma=90.00
With the nearest neighbours (Å) after each atom.
Space group Fm-3m (No. 225)
Inequivalent atoms, fractional coordinates:
As1 0.2500 0.2500 0.2500  4 F 2.55, 4 H 2.55
H1 0.0000 0.0000 0.0000  8 As 2.55
F1 0.0000 0.0000 0.5000  8 As 2.55

=====

ii.
Computed, not measured: a geometry-optimized As2HF structure at the PBE level of DFT.

Unit cell a=5.0160 b=5.0160 c=9.6537 alpha=90.00 beta=90.00 gamma=90.00
With the nearest neighbours (Å) after each atom.
Space group I-42d (No. 122)
Inequivalent atoms, fractional coordinates:
As1 0.1546 0.2500 0.1250  2 H 1.91
H1 0.0000 0.0000 0.0000  4 As 1.91
F1 0.0000 0.0000 0.5000  4 As 2.46

=====

Stability ranking, top and bottom: ii is the most stable and i is the least stable.

=====

i.
Computed, not measured: a geometry-optimized AsH3F structure at the PBE level of DFT.

Unit cell a=3.4358 b=3.4358 c=3.4358 alpha=90.00 beta=90.00 gamma=90.00
With the nearest neighbours (Å) after each atom.
Space group Pm-3m (No. 221)
Inequivalent atoms, fractional coordinates:
As1 0.0000 0.0000 0.0000  12 H 2.43
H1 0.0000 0.5000 0.5000  2 F 1.72
F1 0.5000 0.5000 0.5000  6 H 1.72

=====

ii.
Computed, not measured: a geometry-optimized AsH3F structure at the PBE level of DFT.

Unit cell a=3.4431 b=3.4431 c=3.4431 alpha=90.00 beta=90.00 gamma=90.00
With the nearest neighbours (Å) after each atom.
Space group Pm-3m (No. 221)
Inequivalent atoms, fractional coordinates:
As1 0.0000 0.0000 0.0000  6 H 1.72
H1 0.0000 0.0000 0.5000  2 As 1.72
F1 0.5000 0.5000 0.5000  12 H 2.43

=====

Stability ranking, top and bottom: ii is the most stable and i is the least stable.

=====

i.
Computed, not measured: a geometry-optimized HfAsF2 structure at the PBE level of DFT.

Unit cell a=2.9092 b=2.9092 c=31.8801 alpha=90.00 beta=90.00 gamma=120.00
With the nearest neighbours (Å) after each atom.
Space group R-3m (No. 166, hexagonal axes)
Inequivalent atoms, fractional coordinates:
Hf1 0.0000 0.0000 0.0000  6 F 2.27
As1 0.0000 0.0000 0.5000  6 As 2.91
F1 0.0000 0.0000 0.3811  3 Hf 2.27

=====

ii.
Computed, not measured: a geometry-optimized HfAsF2 structure at the PBE level of DFT.

Unit cell a=4.1712 b=4.1712 c=14.4882 alpha=90.00 beta=90.00 gamma=90.00
With the nearest neighbours (Å) after each atom.
Space group I-42d (No. 122)
Inequivalent atoms, fractional coordinates:
Hf1 0.0000 0.0000 0.0000  4 F 2.13
As1 0.0000 0.0000 0.5000  4 F 2.67, 4 Hf 2.95
F1 0.1012 0.7500 0.1250  2 Hf 2.13, 2 F 2.25

=====

iii.
Computed, not measured: a geometry-optimized HfAsF2 structure at the PBE level of DFT.

Unit cell a=6.0428 b=6.0428 c=6.0428 alpha=90.00 beta=90.00 gamma=90.00
With the nearest neighbours (Å) after each atom.
Space group Fm-3m (No. 225)
Inequivalent atoms, fractional coordinates:
Hf1 0.0000 0.0000 0.0000  8 F 2.62
As1 0.0000 0.0000 0.5000  8 F 2.62
F1 0.2500 0.2500 0.2500  4 Hf 2.62, 4 As 2.62

=====

Stability ranking, top and bottom: ii is the most stable and iii is the least stable.

=====

i.
Computed, not measured: a geometry-optimized HfAsF3 structure at the PBE level of DFT.

Unit cell a=4.2562 b=4.2562 c=4.2562 alpha=90.00 beta=90.00 gamma=90.00
With the nearest neighbours (Å) after each atom.
Space group Pm-3m (No. 221)
Inequivalent atoms, fractional coordinates:
Hf1 0.0000 0.0000 0.0000  6 F 2.13
As1 0.5000 0.5000 0.5000  12 F 3.01
F1 0.0000 0.0000 0.5000  2 Hf 2.13

=====

ii.
Computed, not measured: a geometry-optimized HfAsF3 structure at the PBE level of DFT.

Unit cell a=4.4115 b=4.4115 c=4.4115 alpha=90.00 beta=90.00 gamma=90.00
With the nearest neighbours (Å) after each atom.
Space group Pm-3m (No. 221)
Inequivalent atoms, fractional coordinates:
Hf1 0.0000 0.0000 0.0000  12 F 3.12
As1 0.5000 0.5000 0.5000  6 F 2.21
F1 0.0000 0.5000 0.5000  2 As 2.21

=====

Stability ranking, top and bottom: i is the most stable and ii is the least stable.

=====

i.
Computed, not measured: a geometry-optimized Hf2AsF structure at the PBE level of DFT.

Unit cell a=6.7383 b=6.7383 c=6.1049 alpha=90.00 beta=90.00 gamma=90.00
With the nearest neighbours (Å) after each atom.
Space group I-42d (No. 122)
Inequivalent atoms, fractional coordinates:
Hf1 0.1735 0.2500 0.1250  2 F 2.19
As1 0.0000 0.0000 0.5000  8 Hf 2.87-3.07, 2 F 3.05
F1 0.0000 0.0000 0.0000  4 Hf 2.19

=====

ii.
Computed, not measured: a geometry-optimized Hf2AsF structure at the PBE level of DFT.

Unit cell a=6.4159 b=6.4159 c=6.4159 alpha=90.00 beta=90.00 gamma=90.00
With the nearest neighbours (Å) after each atom.
Space group Fm-3m (No. 225)
Inequivalent atoms, fractional coordinates:
Hf1 0.2500 0.2500 0.2500  4 F 2.78, 4 As 2.78
As1 0.0000 0.0000 0.0000  8 Hf 2.78
F1 0.0000 0.0000 0.5000  8 Hf 2.78

=====

Stability ranking, top and bottom: i is the most stable and ii is the least stable.

=====

i.
Computed, not measured: a geometry-optimized HfAs2SeF structure at the PBE level of DFT.

Unit cell a=4.2218 b=4.2218 c=5.2718 alpha=90.00 beta=90.00 gamma=90.00
With the nearest neighbours (Å) after each atom.
Space group P4/mmm (No. 123)
Inequivalent atoms, fractional coordinates:
Hf1 0.0000 0.0000 0.0000  4 Se 2.99
As1 0.0000 0.5000 0.5000  2 F 2.11
Se1 0.5000 0.5000 0.0000  2 F 2.64
F1 0.5000 0.5000 0.5000  4 As 2.11

=====

ii.
Computed, not measured: a geometry-optimized HfAs2SeF structure at the PBE level of DFT.

Unit cell a=5.1550 b=5.1550 c=5.0314 alpha=90.00 beta=90.00 gamma=90.00
With the nearest neighbours (Å) after each atom.
Space group P4/mmm (No. 123)
Inequivalent atoms, fractional coordinates:
Hf1 0.0000 0.0000 0.0000  2 Se 2.52, 4 As 2.58
As1 0.0000 0.5000 0.0000  2 Hf 2.58
Se1 0.0000 0.0000 0.5000  2 Hf 2.52
F1 0.5000 0.5000 0.5000  8 As 3.60, 4 Se 3.65

=====

Stability ranking, top and bottom: ii is the most stable and i is the least stable.

=====

i.
Computed, not measured: a geometry-optimized Hg2AsF6 structure at the PBE level of DFT.

Unit cell a=5.6301 b=11.3424 c=10.4532 alpha=90.00 beta=90.87 gamma=90.00
With the nearest neighbours (Å) after each atom.
Space group P2_1/c (No. 14)
Inequivalent atoms, fractional coordinates:
Hg1 0.0011 0.0183 0.3724  2 Hg 2.70-2.75
Hg2 0.0005 0.0693 0.1156  2 Hg 2.75-2.88, 2 F 2.83-2.90
As1 0.4994 0.7124 0.6530  6 F 1.77-1.79
F1 0.2422 0.7261 0.5519  1 As 1.79
F2 0.2448 0.2004 0.7462  1 As 1.78
F3 0.3121 0.6973 0.7866  1 As 1.77
F4 0.3134 0.2283 0.9812  1 As 1.78
F5 0.4968 0.5576 0.6304  1 As 1.77
F6 0.4989 0.1316 0.3270  1 As 1.78

=====

ii.
Computed, not measured: a geometry-optimized Hg2AsF6 structure at the PBE level of DFT.

Unit cell a=5.7011 b=5.7011 c=19.7806 alpha=90.00 beta=90.00 gamma=90.00
With the nearest neighbours (Å) after each atom.
Space group I4_1/amd (No. 141, origin choice 2)
Inequivalent atoms, fractional coordinates:
Hg1 0.0000 0.0000 0.0000  2 Hg 2.85, 4 F 2.95
As1 0.0000 0.2500 0.3750  6 F 1.77-1.78
F1 0.0000 0.2500 0.2853  1 As 1.77
F2 0.2204 0.0296 0.3750  1 As 1.78

=====

Stability ranking, top and bottom: i is the most stable and ii is the least stable.

=====

i.
Computed, not measured: a geometry-optimized Hg2AsF structure at the PBE level of DFT.

Unit cell a=6.7413 b=6.7413 c=6.7413 alpha=90.00 beta=90.00 gamma=90.00
With the nearest neighbours (Å) after each atom.
Space group Fm-3m (No. 225)
Inequivalent atoms, fractional coordinates:
Hg1 0.2500 0.2500 0.2500  4 F 2.92, 4 As 2.92
As1 0.0000 0.0000 0.0000  8 Hg 2.92
F1 0.0000 0.0000 0.5000  8 Hg 2.92

=====

ii.
Computed, not measured: a geometry-optimized Hg2AsF structure at the PBE level of DFT.

Unit cell a=5.6060 b=5.6060 c=13.4944 alpha=90.00 beta=90.00 gamma=90.00
With the nearest neighbours (Å) after each atom.
Space group I-42d (No. 122)
Inequivalent atoms, fractional coordinates:
Hg1 0.2449 0.2500 0.1250  2 As 2.59, 2 F 2.62
As1 0.0000 0.0000 0.0000  4 Hg 2.59
F1 0.0000 0.0000 0.5000  4 Hg 2.62

=====

Stability ranking, top and bottom: ii is the most stable and i is the least stable.

=====

i.
Computed, not measured: a geometry-optimized HgAsF3 structure at the PBE level of DFT.

Unit cell a=4.5670 b=4.5670 c=4.5670 alpha=90.00 beta=90.00 gamma=90.00
With the nearest neighbours (Å) after each atom.
Space group Pm-3m (No. 221)
Inequivalent atoms, fractional coordinates:
Hg1 0.0000 0.0000 0.0000  6 F 2.28
As1 0.5000 0.5000 0.5000  12 F 3.23
F1 0.0000 0.0000 0.5000  2 Hg 2.28

=====

ii.
Computed, not measured: a geometry-optimized HgAsF3 structure at the PBE level of DFT.

Unit cell a=4.3104 b=4.3104 c=4.3104 alpha=90.00 beta=90.00 gamma=90.00
With the nearest neighbours (Å) after each atom.
Space group Pm-3m (No. 221)
Inequivalent atoms, fractional coordinates:
Hg1 0.0000 0.0000 0.0000  12 F 3.05
As1 0.5000 0.5000 0.5000  6 F 2.16
F1 0.0000 0.5000 0.5000  2 As 2.16

=====

Stability ranking, top and bottom: ii is the most stable and i is the least stable.